Here is CaGeI3 after structural relaxation from Alexandria via LeMat-Bulk. Energies are from PBE.

The space group is Pm-3m (No. 221) and the conventional cell measures 6.041, 6.041 and 6.041 Å, with angles of 90.00, 90.00 and 90.00 degrees. Symmetry generates all atoms from Ca at (0.000, 0.000, 0.000), Ge at (0.500, 0.500, 0.500) and I at (0.000, 0.000, 0.500).

Its uncorrected formation energy is -407 meV/atom. Its energy is -2.661 eV/atom. Its offset from the most stable computed form is 0 meV/atom.

=====

Here is Ca3Ge5I12 after structural relaxation from Alexandria via LeMat-Bulk. Energies are from PBE.

The space group is Ia-3d (No. 230) and the conventional cell measures 18.705, 18.705 and 18.705 Å, with angles of 90.00, 90.00 and 90.00 degrees. Symmetry generates all atoms from Ca at (0.000, 0.250, 0.125), Ge at (0.000, 0.000, 0.000), Ge at (0.000, 0.250, 0.375) and I at (0.019, 0.065, 0.653).

Its uncorrected formation energy is -391 meV/atom. Its energy is -2.775 eV/atom.

=====

Here is CaGe3I after structural relaxation from Alexandria via LeMat-Bulk. Energies are from PBE.

The space group is Pm-3m (No. 221) and the conventional cell measures 5.476, 5.476 and 5.476 Å, with angles of 90.00, 90.00 and 90.00 degrees. Symmetry generates all atoms from Ca at (0.000, 0.000, 0.000), Ge at (0.000, 0.500, 0.500) and I at (0.500, 0.500, 0.500).

Its uncorrected formation energy is 697 meV/atom. Its energy is -2.784 eV/atom. Its offset from the most stable computed form is 0 meV/atom.

=====

Here is Ca5GeI5 after structural relaxation from Alexandria via LeMat-Bulk. Energies are from PBE.

The space group is C2/m (No. 12) and the conventional cell measures 14.545, 6.287 and 9.072 Å, with angles of 90.00, 108.83 and 90.00 degrees. Symmetry generates all atoms from Ca at (0.000, 0.000, 0.000), Ca at (0.145, 0.500, 0.299), Ca at (0.147, 0.500, 0.853), Ge at (0.000, 0.500, 0.000), I at (0.000, 0.500, 0.500), I at (0.168, 0.000, 0.825) and I at (0.186, 0.000, 0.339).

Its uncorrected formation energy is -1220 meV/atom. Its energy is -3.254 eV/atom.

=====

Here is CaGe2I6 after structural relaxation from Alexandria via LeMat-Bulk. Energies are from PBE.

The space group is C2/m (No. 12) and the conventional cell measures 19.997, 4.366 and 9.213 Å, with angles of 90.00, 107.25 and 90.00 degrees. Symmetry generates all atoms from Ca at (0.000, 0.000, 0.000), Ge at (0.169, 0.500, 0.338), I at (0.009, 0.500, 0.249), I at (0.165, 0.000, 0.104) and I at (0.173, 0.000, 0.570).

Its uncorrected formation energy is -755 meV/atom. Its energy is -3.037 eV/atom. Its offset from the most stable computed form is 0 meV/atom.

=====

Here is Ca4GeI5 after structural relaxation from Alexandria via LeMat-Bulk. Energies are from PBE.

The space group is C2/m (No. 12) and the conventional cell measures 19.771, 4.281 and 9.313 Å, with angles of 90.00, 103.65 and 90.00 degrees. Symmetry generates all atoms from Ca at (0.002, 0.000, 0.236), Ca at (0.156, 0.500, 0.086), Ge at (0.000, 0.500, 0.000), I at (0.000, 0.500, 0.500), I at (0.167, 0.000, 0.333) and I at (0.170, 0.000, 0.842).

Its uncorrected formation energy is -1312 meV/atom. Its energy is -3.349 eV/atom.

=====

Here is Ca2GeI6 after structural relaxation from Alexandria via LeMat-Bulk. Energies are from PBE.

The space group is P-31m (No. 162) and the conventional cell measures 7.7438, 7.7438 and 7.6794 Å, with angles of 90.00, 90.00 and 120.00 degrees. Symmetry generates all atoms from Ca at (0.3333, 0.6667, 0.0000), Ge at (0.0000, 0.0000, 0.0000) and I at (0.0000, 0.3228, 0.2279).

Its uncorrected formation energy is -1189 meV/atom. Its energy is -3.180 eV/atom.

=====

Here is Ca2GeI after structural relaxation from Alexandria via LeMat-Bulk. Energies are from PBE.

The space group is I-42d (No. 122) and the conventional cell measures 8.051, 8.051 and 8.715 Å, with angles of 90.00, 90.00 and 90.00 degrees. Symmetry generates all atoms from Ca at (0.220, 0.250, 0.125), Ge at (0.000, 0.000, 0.000) and I at (0.000, 0.000, 0.500).

Its uncorrected formation energy is -591 meV/atom. Its energy is -3.133 eV/atom. Its offset from the most stable computed form is 301 meV/atom.

=====

Here is Ca3GeI2 after structural relaxation from Alexandria via LeMat-Bulk. Energies are from PBE.

The space group is C2/m (No. 12) and the conventional cell measures 7.871, 13.604 and 8.074 Å, with angles of 90.00, 109.11 and 90.00 degrees. Symmetry generates all atoms from Ca at (0.195, 0.000, 0.200), Ca at (0.244, 0.187, 0.797), Ge at (0.000, 0.167, 0.000), I at (0.000, 0.000, 0.500), I at (0.000, 0.344, 0.500) and I at (0.000, 0.500, 0.000).

Its uncorrected formation energy is -1096 meV/atom. Its energy is -3.383 eV/atom.

=====

Here is CaGeI2 after structural relaxation from Alexandria via LeMat-Bulk. Energies are from PBE.

The space group is Fm-3m (No. 225) and the conventional cell measures 7.866, 7.866 and 7.866 Å, with angles of 90.00, 90.00 and 90.00 degrees. Symmetry generates all atoms from Ca at (0.000, 0.000, 0.000), Ge at (0.000, 0.000, 0.500) and I at (0.250, 0.250, 0.250).

Its uncorrected formation energy is -379 meV/atom. Its energy is -2.809 eV/atom. Its offset from the most stable computed form is 0 meV/atom.

=====

Here is Ca2GeI after structural relaxation from Alexandria via LeMat-Bulk. Energies are from PBE.

The space group is R-3m (No. 166, hexagonal axes) and the conventional cell measures 4.2791, 4.2791 and 24.0284 Å, with angles of 90.00, 90.00 and 120.00 degrees. Symmetry generates all atoms from Ca at (0.0000, 0.0000, 0.2364), Ge at (0.0000, 0.0000, 0.5000) and I at (0.0000, 0.0000, 0.0000).

Its uncorrected formation energy is -892 meV/atom. Its energy is -3.434 eV/atom. Its offset from the most stable computed form is 0 meV/atom.

=====

Here is CaGeI2 after structural relaxation from Alexandria via LeMat-Bulk. Energies are from PBE.

The space group is R-3m (No. 166, hexagonal axes) and the conventional cell measures 4.1395, 4.1395 and 31.0457 Å, with angles of 90.00, 90.00 and 120.00 degrees. Symmetry generates all atoms from Ca at (0.0000, 0.0000, 0.0000), Ge at (0.0000, 0.0000, 0.5000) and I at (0.0000, 0.0000, 0.1026).

Its uncorrected formation energy is -147 meV/atom. Its energy is -2.577 eV/atom. Its offset from the most stable computed form is 232 meV/atom.

=====

Here is Li2CaGeI6 after structural relaxation from Alexandria via LeMat-Bulk. Energies are from PBE.

The space group is C2/c (No. 15) and the conventional cell measures 14.457, 13.491 and 7.884 Å, with angles of 90.00, 99.81 and 90.00 degrees. Symmetry generates all atoms from Li at (0.172, 0.089, 0.313), Ca at (0.000, 0.410, 0.250), Ge at (0.000, 0.229, 0.750), I at (0.121, 0.251, 0.104), I at (0.122, 0.415, 0.624) and I at (0.126, 0.088, 0.640).

Its uncorrected formation energy is -1032 meV/atom. Its energy is -3.007 eV/atom.

=====

Here is CaMnGe2I after structural relaxation from Alexandria via LeMat-Bulk. Energies are from PBE.

The space group is P4/mmm (No. 123) and the conventional cell measures 4.708, 4.708 and 6.112 Å, with angles of 90.00, 90.00 and 90.00 degrees. Symmetry generates all atoms from Ca at (0.000, 0.000, 0.000), Mn at (0.000, 0.000, 0.500), Ge at (0.000, 0.500, 0.500) and I at (0.500, 0.500, 0.000).

Its uncorrected formation energy is -137 meV/atom. Its energy is -4.528 eV/atom.

=====

Here is Ca2MnGeI after structural relaxation from Alexandria via LeMat-Bulk. Energies are from PBE.

The space group is P4/mmm (No. 123) and the conventional cell measures 5.835, 5.835 and 4.713 Å, with angles of 90.00, 90.00 and 90.00 degrees. Symmetry generates all atoms from Ca at (0.000, 0.500, 0.000), Mn at (0.000, 0.000, 0.500), Ge at (0.000, 0.000, 0.000) and I at (0.500, 0.500, 0.500).

Its uncorrected formation energy is -319 meV/atom. Its energy is -4.187 eV/atom.

=====

Here is CaGeIN2 after structural relaxation from Alexandria via LeMat-Bulk. Energies are from PBE.

The space group is P4/mmm (No. 123) and the conventional cell measures 4.081, 4.081 and 5.805 Å, with angles of 90.00, 90.00 and 90.00 degrees. Symmetry generates all atoms from Ca at (0.000, 0.000, 0.000), Ge at (0.500, 0.500, 0.500), I at (0.500, 0.500, 0.000) and N at (0.000, 0.500, 0.500).

Its uncorrected formation energy is 615 meV/atom. Its energy is -4.349 eV/atom. Its offset from the most stable computed form is 0 meV/atom.

=====

Here is CaGeI2N after structural relaxation from Alexandria via LeMat-Bulk. Energies are from PBE.

The space group is P4/mmm (No. 123) and the conventional cell measures 6.083, 6.083 and 3.715 Å, with angles of 90.00, 90.00 and 90.00 degrees. Symmetry generates all atoms from Ca at (0.000, 0.000, 0.000), Ge at (0.500, 0.500, 0.500), I at (0.000, 0.500, 0.500) and N at (0.500, 0.500, 0.000).

Its uncorrected formation energy is -60 meV/atom. Its energy is -3.669 eV/atom. Its offset from the most stable computed form is 0 meV/atom.

=====

Here is CaGeIN2 after structural relaxation from Alexandria via LeMat-Bulk. Energies are from PBE.

The space group is P4/mmm (No. 123) and the conventional cell measures 4.659, 4.659 and 6.218 Å, with angles of 90.00, 90.00 and 90.00 degrees. Symmetry generates all atoms from Ca at (0.000, 0.000, 0.000), Ge at (0.500, 0.500, 0.500), I at (0.000, 0.000, 0.500) and N at (0.000, 0.500, 0.000).

Its uncorrected formation energy is 1243 meV/atom. Its energy is -3.721 eV/atom. Its offset from the most stable computed form is 628 meV/atom.

=====

Here is CaGeI2N after structural relaxation from Alexandria via LeMat-Bulk. Energies are from PBE.

The space group is P4/mmm (No. 123) and the conventional cell measures 6.114, 6.114 and 4.563 Å, with angles of 90.00, 90.00 and 90.00 degrees. Symmetry generates all atoms from Ca at (0.000, 0.000, 0.000), Ge at (0.500, 0.500, 0.500), I at (0.000, 0.500, 0.000) and N at (0.000, 0.000, 0.500).

Its uncorrected formation energy is 401 meV/atom. Its energy is -3.208 eV/atom. Its offset from the most stable computed form is 461 meV/atom.

=====

Here is NaCaGeI2 after structural relaxation from Alexandria via LeMat-Bulk. Energies are from PBE.

The space group is P4/mmm (No. 123) and the conventional cell measures 5.962, 5.962 and 5.483 Å, with angles of 90.00, 90.00 and 90.00 degrees. Symmetry generates all atoms from Na at (0.000, 0.000, 0.000), Ca at (0.500, 0.500, 0.000), Ge at (0.000, 0.000, 0.500) and I at (0.000, 0.500, 0.500).

Its uncorrected formation energy is -124 meV/atom. Its energy is -2.332 eV/atom.